# 1
A geometry-optimized Ta2CuRe2Se8 structure. Source: the Alexandria database, functional PBE.

Cell lengths 3.4438, 3.4438, 26.7403 Å; angles 90.00, 90.00, 120.00 degrees
Closest atoms and distances in Å follow each position.
Element x y z (fractional)
Ta 0.0000 0.0000 0.0000  6 Se 2.60-2.63
Ta 0.0000 0.0000 0.4901  6 Se 2.60-2.61
Cu 0.0000 0.0000 0.8751  6 Se 2.57-2.74
Re 0.0000 0.0000 0.2449  6 Se 2.53
Re 0.0000 0.0000 0.7379  6 Se 2.51-2.67
Se 0.3333 0.6667 0.1863  3 Re 2.53
Se 0.3333 0.6667 0.3035  3 Re 2.53
Se 0.3333 0.6667 0.6806  3 Re 2.51
Se 0.3333 0.6667 0.8048  3 Re 2.67, 3 Cu 2.74
Se 0.6667 0.3333 0.0625  3 Ta 2.60
Se 0.6667 0.3333 0.4271  3 Ta 2.61
Se 0.6667 0.3333 0.5530  3 Ta 2.60
Se 0.6667 0.3333 0.9358  3 Cu 2.57, 3 Ta 2.63

Computed properties:
Total energy: -6.540 eV per atom
Crystal system: trigonal
Formation energy (no corrections): -342 meV/atom

=====

# 2
A geometry-optimized Cu2ReSi structure. Source: the Alexandria database, functional PBE.

Cell lengths 2.6365, 3.9112, 5.1994 Å; angles 90.00, 104.53, 90.00 degrees
Closest atoms and distances in Å follow each position.
Element x y z (fractional)
Cu 0.0000 0.0000 0.0000  6 Cu 2.55-2.64, 3 Si 2.57-2.80, 2 Re 2.85
Cu 0.3995 0.5000 0.8030  2 Si 2.45, 6 Cu 2.55-2.64, 1 Re 2.61
Re 0.6624 0.5000 0.3211  4 Si 2.54-2.55, 3 Cu 2.61-2.76, 2 Re 2.64
Si 0.2546 0.0000 0.5105  3 Cu 2.45-2.57, 4 Re 2.54-2.55, 2 Si 2.64

Computed properties:
Total energy: -6.464 eV per atom
Crystal system: monoclinic
Formation energy (no corrections): 52 meV/atom